4
Lattice="5.307 0.000 0.000 2.653 4.596 0.000 2.653 1.532 4.333" Properties=species:S:1:pos:R:3 comment="NdHoTlZn (PBE, relaxed)" spacegroup=F-43m dos_at_fermi_per_ev_atom=1.131 formation_energy_ev_per_atom=-0.320 pbc="T T T"
Ho 2.653 1.532 1.083
Zn 0.000 0.000 0.000
Nd 7.960 4.596 3.250
Tl 5.307 3.064 2.167

14
Lattice="8.017 0.353 -2.814 -3.930 6.997 -2.814 -0.196 -0.353 8.494" Properties=species:S:1:pos:R:3 comment="YIn5Br8 (PBE, relaxed)" spacegroup=I-4 dos_at_fermi_per_ev_atom=0.000 total_energy_ev_per_atom=-3.36 pbc="T T T"
In 2.044 3.675 -2.814
Br 0.376 2.752 0.663
In 5.745 1.763 4.179
Br -1.011 3.699 4.210
Y -1.041 5.159 1.433
Br -2.637 5.225 -0.984
Br 2.731 1.185 3.417
In 3.108 0.092 0.080
Br -3.063 6.481 3.035
Br 4.851 3.206 -1.273
In 3.485 4.308 1.357
Br 1.159 6.180 3.019
In 7.392 1.186 0.117
Br 1.211 5.904 -0.621

6
Lattice="-0.190 -0.137 3.649 -2.093 -2.992 -0.222 5.135 -3.584 0.118" Properties=species:S:1:pos:R:3 comment="VNiPt (PBE, relaxed)" spacegroup=C2/m dos_at_fermi_per_ev_atom=0.943 formation_energy_ev_per_atom=-0.211 pbc="T T T"
V -0.790 -3.532 2.807
Pt 0.262 -1.904 1.091
Pt 1.252 -4.948 2.847
Ni 3.800 -4.505 2.996
Ni 2.850 -5.932 1.062
V 2.304 -3.318 1.130

19
Lattice="-3.877 -2.333 6.560 5.946 -4.698 -2.997 4.844 7.123 5.396" Properties=species:S:1:pos:R:3 comment="Ce2Ag5Cl12 (PBE, relaxed)" spacegroup=C2/m dos_at_fermi_per_ev_atom=0.544 total_energy_ev_per_atom=-3.70 pbc="T T T"
Cl 2.633 1.625 4.549
Cl 4.281 -1.533 4.410
Cl -0.729 -2.877 5.846
Cl 6.223 -0.364 1.123
Cl 4.467 -4.226 1.137
Ag 3.832 -1.461 1.745
Cl 1.241 -1.691 2.513
Ce -0.963 -0.579 1.629
Cl 7.642 2.969 3.113
Ag 2.422 3.562 2.698
Cl 4.370 5.507 4.541
Ag 4.760 0.926 3.143
Cl 5.672 1.783 6.446
Ag 2.153 -0.834 5.816
Cl 2.543 -5.415 4.418
Ag 3.081 1.553 7.214
Cl 0.690 0.456 7.836
Cl 2.446 4.318 7.822
Ce -2.914 -1.754 4.931

8
Lattice="-0.202 2.525 -3.213 -1.458 -3.811 -0.299 -8.614 3.066 2.951" Properties=species:S:1:pos:R:3 comment="PuSi2Os (PBE, relaxed)" spacegroup=P6_3/mmc dos_at_fermi_per_ev_atom=2.769 total_energy_ev_per_atom=-9.62 pbc="T T T"
Si -9.012 1.139 1.461
Pu -3.193 -0.932 -0.532
Si -4.286 1.718 -0.986
Pu -7.081 2.712 -0.028
Si -1.262 0.642 -2.021
Os 0.000 0.000 0.000
Si -5.988 0.062 0.425
Os -4.307 1.533 1.475

5
Lattice="-4.454 1.649 -1.608 -2.155 -2.531 3.374 0.315 3.905 3.131" Properties=species:S:1:pos:R:3 comment="ZnReSb2Pd (PBE, relaxed)" spacegroup=P4/mmm dos_at_fermi_per_ev_atom=0.605 total_energy_ev_per_atom=-4.07 pbc="T T T"
Zn 0.000 0.000 0.000
Sb 0.158 1.952 1.565
Re -1.078 -1.266 1.687
Sb -2.227 0.825 -0.804
Pd -3.147 1.511 2.448

4
Lattice="-1.862 -2.347 -1.839 -1.985 -2.370 1.674 -9.369 5.032 -0.296" Properties=species:S:1:pos:R:3 comment="Y2ZnGa (PBE, relaxed)" spacegroup=R-3m dos_at_fermi_per_ev_atom=0.769 formation_energy_ev_per_atom=0.046 pbc="T T T"
Y -7.001 3.098 -0.226
Ga -6.608 0.157 -0.231
Y -6.215 -2.783 -0.236
Zn 0.000 0.000 0.000

6
Lattice="2.739 -2.743 3.825 -2.690 -3.092 3.586 0.362 -5.427 -0.273" Properties=species:S:1:pos:R:3 comment="CoSiAs4 (PBE, relaxed)" spacegroup=F-43m dos_at_fermi_per_ev_atom=1.193 total_energy_ev_per_atom=-4.33 pbc="T T T"
Si 0.000 0.000 0.000
As 1.524 -5.595 4.590
As 0.154 -4.223 2.676
As 0.335 -6.937 2.539
Co 0.308 -8.447 5.353
As -1.191 -5.770 4.470

4
Lattice="2.810 0.015 0.000 -0.277 2.796 0.000 0.000 0.000 9.071" Properties=species:S:1:pos:R:3 comment="Mg2AlW (PBE, relaxed)" spacegroup=Cmmm dos_at_fermi_per_ev_atom=0.466 formation_energy_ev_per_atom=0.247 pbc="T T T"
Mg 0.000 0.000 0.051
Mg 0.000 0.000 4.485
W 1.266 1.405 2.268
Al 1.266 1.405 6.803

8
Lattice="9.678 0.000 0.000 0.000 9.678 0.000 4.839 4.839 2.137" Properties=species:S:1:pos:R:3 comment="Na2TiB (PBE, relaxed)" spacegroup=I-42d dos_at_fermi_per_ev_atom=1.174 formation_energy_ev_per_atom=0.925 pbc="T T T"
Ti 9.678 4.839 1.069
B 4.839 9.678 1.069
Na 5.957 2.420 0.534
Na 7.259 8.560 1.603
Na 12.098 10.797 1.603
Na 3.721 7.259 0.534
B 4.839 4.839 0.000
Ti 0.000 0.000 0.000

16
Lattice="-1.916 2.396 -5.664 -8.637 0.014 2.927 5.272 7.324 1.315" Properties=species:S:1:pos:R:3 comment="Tb3Tl5 (PBE, relaxed)" spacegroup=P6_3/mcm dos_at_fermi_per_ev_atom=1.052 formation_energy_ev_per_atom=-0.165 pbc="T T T"
Tl -3.348 1.800 -3.600
Tb -3.968 0.605 -0.234
Tl 0.636 4.887 1.852
Tl -1.224 2.223 -0.477
Tl -4.958 3.649 -0.443
Tb 1.651 3.557 -0.885
Tb -2.796 4.761 -2.535
Tl -7.204 0.610 0.863
Tb 1.706 6.162 -3.465
Tl -4.000 2.451 2.390
Tb -6.585 1.805 -2.504
Tl 3.626 6.302 -0.392
Tl -4.057 7.511 -0.945
Tb -2.485 4.973 1.112
Tl -0.322 6.085 -0.980
Tl -0.270 3.417 -3.957